[1]
A geometry-optimized RbLi2NdI6 structure, computed with PBE-GGA.

Crystal system: triclinic
ΔE_f (raw), kJ/mol of formula units: -1266

a b c (Å): 8.000 8.001 8.647
angles (deg): 90.02 117.53 119.95
Space group P1 (No. 1)
Inequivalent atoms, fractional coordinates:
Rb (0.000, 0.000, 0.000) [1 per cell]
Li (0.572, 0.287, 0.858) [1 per cell]
Li (0.588, 0.794, 0.383) [1 per cell]
Nd (0.955, 0.477, 0.432) [1 per cell]
I (0.090, 0.196, 0.629) [1 per cell]
I (0.092, 0.472, 0.144) [1 per cell]
I (0.433, 0.894, 0.629) [1 per cell]
I (0.525, 0.053, 0.145) [1 per cell]
I (0.673, 0.620, 0.145) [1 per cell]
I (0.734, 0.539, 0.629) [1 per cell]


[2]
A geometry-optimized LaMgP2Cl structure, computed with PBE-GGA.

Crystal system: tetragonal
ΔE_f (raw), kJ/mol of formula units: -33
E above lowest polymorph, meV/atom: 622

a b c (Å): 5.554 5.554 5.382
angles (deg): 90.00 90.00 90.00
Space group P4/mmm (No. 123)
Inequivalent atoms, fractional coordinates:
La (0.000, 0.000, 0.000) [1 per cell]
Mg (0.500, 0.500, 0.500) [1 per cell]
P (0.000, 0.500, 0.000) [2 per cell]
Cl (0.000, 0.000, 0.500) [1 per cell]


[3]
A geometry-optimized Dy5ThMg4 structure, computed with PBE-GGA.

Crystal system: tetragonal
Formation energy, eV per atom: -0.0538

a b c (Å): 3.712 3.712 20.460
angles (deg): 90.00 90.00 90.00
Space group P4/mmm (No. 123)
Inequivalent atoms, fractional coordinates:
Dy (0.000, 0.000, 0.000) [1 per cell]
Dy (0.000, 0.000, 0.188) [2 per cell]
Dy (0.000, 0.000, 0.386) [2 per cell]
Th (0.500, 0.500, 0.500) [1 per cell]
Mg (0.500, 0.500, 0.095) [2 per cell]
Mg (0.500, 0.500, 0.286) [2 per cell]


[4]
A geometry-optimized KNaPu2O8 structure, computed with PBE-GGA.

Crystal system: trigonal
ΔE_f (raw), kJ/mol of formula units: -2272

a b c (Å): 5.9345 5.9345 6.5741
angles (deg): 90.00 90.00 120.00
Space group P-3 (No. 147)
Inequivalent atoms, fractional coordinates:
K (0.0000, 0.0000, 0.0000) [1 per cell]
Na (0.0000, 0.0000, 0.5000) [1 per cell]
Pu (0.3333, 0.6667, 0.4409) [2 per cell]
O (0.0594, 0.3848, 0.6318) [6 per cell]
O (0.3333, 0.6667, 0.1583) [2 per cell]


[5]
A geometry-optimized NaCd2Ag2 structure, computed with PBE-GGA.

Crystal system: tetragonal
E above lowest polymorph, meV/atom: 4
Formation energy, eV per atom: -0.0837

a b c (Å): 8.338 8.338 3.101
angles (deg): 90.00 90.00 90.00
Space group P4/mbm (No. 127)
Inequivalent atoms, fractional coordinates:
Na (0.000, 0.000, 0.000) [2 per cell]
Cd (0.170, 0.330, 0.500) [4 per cell]
Ag (0.127, 0.627, 0.000) [4 per cell]


[6]
A geometry-optimized V3Cr2Os2 structure, computed with PBE-GGA.

Crystal system: orthorhombic
Formation energy, eV per atom: -0.0046

a b c (Å): 3.028 20.953 2.953
angles (deg): 90.00 90.00 90.00
Space group Cmmm (No. 65)
Inequivalent atoms, fractional coordinates:
V (0.000, 0.000, 0.000) [2 per cell]
V (0.000, 0.150, 0.000) [4 per cell]
Cr (0.000, 0.290, 0.500) [4 per cell]
Os (0.000, 0.427, 0.500) [4 per cell]


[7]
A geometry-optimized LiIn2Ag structure, computed with PBE-GGA.

Crystal system: cubic
Formation energy, eV per atom: -0.1127

a b c (Å): 6.953 6.953 6.953
angles (deg): 90.00 90.00 90.00
Space group F-43m (No. 216)
Inequivalent atoms, fractional coordinates:
Li (0.000, 0.000, 0.000) [4 per cell]
In (0.000, 0.000, 0.500) [4 per cell]
In (0.250, 0.250, 0.250) [4 per cell]
Ag (0.250, 0.250, 0.750) [4 per cell]


[8]
A geometry-optimized KTcRh2 structure, computed with PBE-GGA.

Crystal system: cubic
E above lowest polymorph, meV/atom: 863
Formation energy, eV per atom: 1.1961

a b c (Å): 6.437 6.437 6.437
angles (deg): 90.00 90.00 90.00
Space group F-43m (No. 216)
Inequivalent atoms, fractional coordinates:
K (0.000, 0.000, 0.000) [4 per cell]
Tc (0.250, 0.250, 0.250) [4 per cell]
Rh (0.000, 0.000, 0.500) [4 per cell]
Rh (0.250, 0.250, 0.750) [4 per cell]


Respective DFT total energy values: -3.198; -3.906; -3.735; -7.858; -1.854; -9.871; -2.673; -5.345 eV/atom.
Respective density of states at the Fermi level values: 0.00; 5.26; 13.68; 7.12; 3.20; 14.95; 2.84; 30.32 states/eV/cell.